Record 1
Entry from the Open Quantum Materials Database: HfTc2Se4 after structural relaxation (PBE).

```
HfTc2Se4
1.0
3.7978 2.1926 6.2017
-3.7978 2.1926 6.2017
0.0000 -4.3853 6.2017
Tc Se Hf
4 8 2
direct
0.3750 0.3750 0.8750
0.3750 0.8750 0.3750
0.3750 0.3750 0.3750
0.8750 0.3750 0.3750
0.1374 0.1374 0.5878
0.1374 0.1374 0.1374
0.5878 0.1374 0.1374
0.1374 0.5878 0.1374
0.6126 0.6126 0.1622
0.6126 0.1622 0.6126
0.1622 0.6126 0.6126
0.6126 0.6126 0.6126
0.7500 0.7500 0.7500
0.0000 0.0000 0.0000
```

---

Record 2
Entry from the Open Quantum Materials Database: ErTm3Zr2Te2Os after structural relaxation (PBE).

```
ErTm3Zr2Te2Os
1.0
-3.4847 -0.8095 1.3575
0.4862 -7.5287 -3.2413
2.5725 1.6909 7.6123
Tm Te Er Os Zr
3 2 1 1 2
direct
0.5000 0.7579 0.7579
0.5000 0.2405 0.9912
0.5000 0.9912 0.2405
0.5000 0.3317 0.6728
0.5000 0.6728 0.3317
0.0000 0.3924 0.3924
0.0000 0.0137 0.0137
0.0000 0.0011 0.5988
0.0000 0.5988 0.0011
```

---

Record 3
Entry from the Open Quantum Materials Database: LiBeCoAs after structural relaxation (PBE).

```
LiBeCoAs
1.0
0.0000 2.7764 2.7764
2.7764 0.0000 2.7764
2.7764 2.7764 0.0000
Co Li Be As
1 1 1 1
direct
0.7500 0.7500 0.7500
0.2500 0.2500 0.2500
0.5000 0.5000 0.5000
0.0000 0.0000 0.0000
```

---

Record 4
Entry from the Open Quantum Materials Database: K2As2Pd3 after structural relaxation (PBE).

```
K2As2Pd3
1.0
6.1730 -2.0176 0.0000
6.1730 2.0176 0.0000
-3.9513 0.0000 6.7467
As Pd K
2 3 2
direct
0.1476 0.1476 0.2168
0.8524 0.8524 0.7832
0.5000 0.5000 0.0000
0.6661 0.6661 0.4069
0.3339 0.3339 0.5931
0.1215 0.1215 0.7610
0.8785 0.8785 0.2390
```

---

Record 5
Entry from the Open Quantum Materials Database: Nb2Bi2PbO9 after structural relaxation (PBE).

```
Nb2Bi2PbO9
1.0
-2.5037 -2.7017 -1.3598
-2.6765 2.8013 -0.6367
7.0375 1.5953 -10.4591
O Pb Bi Nb
9 1 2 2
direct
0.2500 0.7500 0.5000
0.5805 0.0805 0.1609
0.7500 0.2500 0.5000
0.0805 0.5805 0.1609
0.4195 0.9195 0.8391
0.9195 0.4195 0.8391
0.6650 0.6650 0.3300
0.5000 0.5000 0.0000
0.3350 0.3350 0.6700
0.0000 0.0000 0.0000
0.2004 0.2004 0.4008
0.7996 0.7996 0.5992
0.4114 0.4114 0.8228
0.5886 0.5886 0.1772
```

---

Record 6
DyHo2Zn3CuIr2 | the Open Quantum Materials Database | PBE | relaxed; ΔE_f = -5.45 eV/f.u.
1.0
-2.8571 2.0128 -1.4957
0.0452 -4.2347 -5.7849
-4.1180 -1.6629 5.6282
Ho Zn Ir Cu Dy
2 3 2 1 1
direct
0.0000 0.5891 0.0000
0.0000 0.0000 0.5891
0.5000 0.0000 0.2470
0.5000 0.2470 0.0000
0.5000 0.7530 0.7530
0.5000 0.6667 0.3333
0.5000 0.3333 0.6667
0.0000 0.0000 0.0000
0.0000 0.4109 0.4109

---

Record 7
Entry from the Open Quantum Materials Database: KNaAu2Se2 after structural relaxation (PBE).

```
KNaAu2Se2
1.0
-7.0909 -0.3314 -0.0694
-0.1512 2.3004 4.4597
-0.2166 4.8788 -1.1637
Se K Na Au
2 1 1 2
direct
0.0000 0.2198 0.2198
0.5000 0.7897 0.7897
0.0000 0.6319 0.6319
0.5000 0.3458 0.3458
0.2529 0.0064 0.0064
0.7471 0.0064 0.0064
```

---

Record 8
Entry from the Open Quantum Materials Database: Co15As after structural relaxation (PBE).

```
Co15As
1.0
3.4914 0.0000 0.0000
0.0000 3.4914 0.0000
0.0000 0.0000 41.2267
Co As
30 2
direct
0.7500 0.0000 0.9362
0.2500 0.0000 0.1488
0.2500 0.0000 0.8089
0.7500 0.0000 0.8512
0.7500 0.0000 0.7658
0.2500 0.5000 0.1911
0.2500 0.0000 0.2342
0.7500 0.5000 0.2336
0.2500 0.0000 0.8939
0.7500 0.5000 0.8939
0.7500 0.0000 0.1061
0.7500 0.0000 0.2754
0.2500 0.5000 0.6805
0.7500 0.5000 0.9788
0.2500 0.0000 0.0638
0.7500 0.0000 0.1911
0.2500 0.0000 0.9788
0.7500 0.5000 0.1487
0.7500 0.5000 0.3195
0.7500 0.5000 0.0637
0.2500 0.5000 0.9363
0.2500 0.5000 0.8513
0.2500 0.5000 0.1061
0.2500 0.5000 0.2754
0.7500 0.5000 0.8089
0.2500 0.5000 0.0212
0.2500 0.0000 0.7246
0.7500 0.5000 0.7246
0.7500 0.0000 0.0212
0.2500 0.5000 0.7664
0.7500 0.0000 0.6802
0.2500 0.0000 0.3198
```

---

Record 9
Entry from the Open Quantum Materials Database: BeCdMoOs after structural relaxation (PBE).

```
BeCdMoOs
1.0
0.0000 3.0911 3.0911
3.0911 0.0000 3.0911
3.0911 3.0911 0.0000
Mo Os Be Cd
1 1 1 1
direct
0.2500 0.2500 0.2500
0.5000 0.5000 0.5000
0.7500 0.7500 0.7500
0.0000 0.0000 0.0000
```

---

Record 10
Entry from the Open Quantum Materials Database: Tm4Tl3In2Os2 after structural relaxation (PBE).

```
Tm4Tl3In2Os2
1.0
-3.0989 6.3643 3.4127
-0.3292 -1.8050 3.0671
8.9979 2.2701 2.3019
Tm Os In Tl
4 2 2 3
direct
0.7178 0.5000 0.4292
0.2822 0.5000 0.5708
0.6856 0.5000 0.8360
0.3144 0.5000 0.1640
0.5745 0.0000 0.6261
0.4255 0.0000 0.3739
0.0534 0.0000 0.3382
0.9466 0.0000 0.6618
0.6514 0.0000 0.1376
0.3486 0.0000 0.8624
0.0000 0.0000 0.0000
```

---

Record 11
Entry from the Open Quantum Materials Database: Nd3DyY2CoTe2 after structural relaxation (PBE).

```
Nd3DyY2CoTe2
1.0
-0.1613 2.4308 -3.1930
-8.3778 0.7626 1.0038
5.2270 5.4297 3.8695
Nd Te Y Co Dy
3 2 2 1 1
direct
0.5000 0.0009 0.4035
0.5000 0.4035 0.0009
0.5000 0.5948 0.5948
0.0000 0.3335 0.6673
0.0000 0.6673 0.3335
0.0000 0.7661 0.9996
0.0000 0.9996 0.7661
0.5000 0.0032 0.0032
0.0000 0.2312 0.2312
```

---

Record 12
Entry from the Open Quantum Materials Database: CsHoTmSe3 after structural relaxation (PBE).

```
CsHoTmSe3
1.0
4.4677 0.0000 0.0000
2.1337 8.2264 0.0000
0.1232 -0.0223 11.1419
Se Tm Ho Cs
6 2 2 2
direct
0.3919 0.2317 0.4563
0.0582 0.8834 0.2496
0.6098 0.7685 0.9556
0.3902 0.2315 0.0444
0.9418 0.1166 0.7504
0.6081 0.7683 0.5437
0.5294 0.9334 0.7499
0.4706 0.0666 0.2501
0.0000 0.0000 0.0000
0.0000 0.0000 0.5000
0.2549 0.4773 0.7514
0.7451 0.5227 0.2486
```

---

Let's list electronic total energy in order: -6.561; -6.418; -4.556; -4.314; -7.349; -4.936; -3.326; -6.904; -6.308; -5.058; -5.729; -4.950 eV per atom.